DFT (PBE) results for a geometry-optimized Tm2Ga4CuPd structure.

Properties
E in eV/cell: -33.4

a = 6.397 Å, b = 7.098 Å, c = 7.098 Å
α = 27.12°, β = 90.00°, γ = 90.00°
Sites, in units of the cell vectors:
Tm 0.000 0.000 0.000
Tm 0.500 0.483 0.483
Ga 0.214 0.646 0.646
Ga 0.290 0.836 0.836
Ga 0.710 0.836 0.836
Ga 0.786 0.646 0.646
Cu 0.500 0.202 0.202
Pd 0.000 0.270 0.270


DFT (PBE) results for a geometry-optimized HfB2Os structure.

Properties
E in eV/cell: -30.7

a = 4.152 Å, b = 4.152 Å, c = 4.152 Å
α = 60.00°, β = 60.00°, γ = 60.00°
Sites, in units of the cell vectors:
Hf 0.000 0.000 0.000
B 0.250 0.250 0.250
B 0.500 0.500 0.500
Os 0.750 0.750 0.750